# Li2CoF4 PBE+U optimized geometry
data_Li2CoF4
_cell_length_a 4.037
_cell_length_b 4.037
_cell_length_c 10.505
_cell_angle_alpha 90.00
_cell_angle_beta 90.00
_cell_angle_gamma 90.00
_symmetry_space_group_name_H-M 'I 4/m m m'
_symmetry_Int_Tables_number 139
_symmetry_space_group_name_Hall '-I 4 2'
loop_
_atom_site_label
_atom_site_type_symbol
_atom_site_fract_x
_atom_site_fract_y
_atom_site_fract_z
Li1 Li 0.000 0.000 0.142
Co1 Co 0.000 0.000 0.500
F1 F 0.000 0.000 0.312
F2 F 0.000 0.500 0.000
# **Energy above the most stable polymorph in this dataset**: 154 meV per atom
# **Density of states at the Fermi level**: 4.67 states/eV/f.u.